Record 1
DFT (PBE) results for an optimized crystal structure of La4Tb5Pr3.

The structure in POSCAR format:
```
La4Tb5Pr3
1.0
6.097 0.000 0.000
3.048 7.747 -2.720
3.048 -0.914 9.351
La Tb Pr
4 5 3
Cartesian
3.048 -0.269 5.673
9.145 7.103 0.958
6.097 5.132 6.721
6.097 1.702 -0.090
9.145 3.410 6.814
9.145 6.581 4.936
3.048 3.423 -0.183
3.048 0.253 1.695
6.097 3.417 3.316
6.097 5.108 0.638
3.048 3.417 3.316
6.097 1.726 5.993
```

Values from the calculation:
ΔE_f ... 0.202 eV per atom
D(E_F) ... 1.6953 states/eV/atom



Record 2
DFT (PBE) results for an optimized crystal structure of CuP8.

The structure in POSCAR format:
```
CuP8
1.0
-5.225 5.225 1.861
5.225 -5.225 1.861
5.225 5.225 -1.861
P Cu
8 1
Cartesian
0.000 4.095 0.000
6.355 0.000 0.000
0.000 6.355 0.000
1.123 -1.123 1.861
-1.123 1.123 1.861
1.123 1.123 1.861
4.102 4.102 0.000
4.095 0.000 0.000
0.000 0.000 0.000
```

Values from the calculation:
ΔE_f ... 0.436 eV per atom
D(E_F) ... 0.8287 states/eV/atom



Record 3
DFT (PBE) results for an optimized crystal structure of Mn2CuIr.

The structure in POSCAR format:
```
Mn2CuIr
1.0
4.448 0.001 0.004
-3.518 5.180 -0.013
-0.004 1.535 2.359
Ir Mn Cu
1 2 1
Cartesian
2.222 0.768 1.181
0.000 0.000 0.000
-1.761 3.358 1.173
0.465 2.591 -0.005
```

Values from the calculation:
ΔE_f ... -0.001 eV per atom
D(E_F) ... 0.6703 states/eV/atom



Record 4
DFT (PBE) results for an optimized crystal structure of La6Bi2C.

The structure in POSCAR format:
```
La6Bi2C
1.0
-1.274 -5.890 -4.092
2.878 -4.229 5.192
-9.287 -0.997 4.335
La C Bi
12 2 4
Cartesian
-3.432 -8.125 3.003
-4.251 -2.991 2.432
-1.482 -5.305 1.617
-4.896 -5.973 0.361
-8.092 -8.550 5.150
-5.324 -10.863 4.334
-2.359 -0.253 1.101
-9.506 -6.472 2.599
-6.201 -5.812 3.818
0.409 -2.567 0.285
-2.787 -5.143 5.074
1.823 -4.644 2.836
0.802 -5.060 0.550
-4.643 -0.499 2.167
-5.522 -2.862 5.845
-7.606 -3.693 1.207
-2.161 -8.254 -0.410
-0.077 -7.423 4.228
```

Values from the calculation:
ΔE_f ... -0.486 eV per atom
Polymorph energy (0 for the lowest one) ... 0.00 eV/f.u.
D(E_F) ... 1.2128 states/eV/atom